[1]
LaNdAlZn after structural relaxation. Source: Alexandria via LeMat-Bulk, functional PBE.

Unit cell a=5.311 b=5.311 c=5.311 alpha=60.00 beta=60.00 gamma=60.00
Sites, in units of the cell vectors:
La  0.000  0.000  0.000
Nd  0.500  0.500  0.500
Al  0.250  0.250  0.250
Zn  0.750  0.750  0.750

calculated volume	105.9	Å³ per cell
ρ	5.89	Mg/m³
relative energy among the computed polymorphs	0.01	eV/f.u.


[2]
LaNdAl2Zn2 after structural relaxation. Source: Alexandria via LeMat-Bulk, functional PBE.

Unit cell a=4.586 b=4.586 c=7.719 alpha=90.00 beta=90.00 gamma=120.00
Sites, in units of the cell vectors:
La  0.000  0.000  0.000
Nd  0.000  0.000  0.500
Al  0.333  0.667  0.732
Al  0.667  0.333  0.268
Zn  0.333  0.667  0.275
Zn  0.667  0.333  0.725

calculated volume	140.6	Å³ per cell
ρ	5.53	Mg/m³


[3]
LaNdAlZn after structural relaxation. Source: Alexandria via LeMat-Bulk, functional PBE.

Unit cell a=3.705 b=3.705 c=7.641 alpha=90.00 beta=90.00 gamma=90.00
Sites, in units of the cell vectors:
La  0.000  0.000  0.000
Nd  0.000  0.000  0.506
Al  0.500  0.500  0.259
Zn  0.500  0.500  0.739

calculated volume	104.9	Å³ per cell
ρ	5.94	Mg/m³
relative energy among the computed polymorphs	0.00	eV/f.u.


[4]
LaAl2Ni2 after structural relaxation. Source: Alexandria via LeMat-Bulk, functional PBE.

Unit cell a=8.414 b=6.974 c=5.987 alpha=80.57 beta=54.85 gamma=44.59
Sites, in units of the cell vectors:
La  0.125  0.125  0.125
La  0.875  0.875  0.875
Al  0.183  0.567  0.183
Al  0.433  0.817  0.433
Al  0.567  0.183  0.567
Al  0.817  0.433  0.817
Ni  0.273  0.273  0.477
Ni  0.477  0.477  0.273
Ni  0.523  0.523  0.727
Ni  0.727  0.727  0.523

calculated volume	182.1	Å³ per cell
ρ	5.66	Mg/m³


[5]
LaAlNi3 after structural relaxation. Source: Alexandria via LeMat-Bulk, functional PBE.

Unit cell a=4.476 b=4.476 c=4.476 alpha=90.00 beta=90.00 gamma=90.00
Sites, in units of the cell vectors:
La  0.000  0.000  0.000
Al  0.500  0.500  0.500
Ni  0.000  0.500  0.500
Ni  0.500  0.000  0.500
Ni  0.500  0.500  0.000

calculated volume	89.7	Å³ per cell
ρ	6.33	Mg/m³
relative energy among the computed polymorphs	0.17	eV/f.u.


[6]
La2Al7Ni after structural relaxation. Source: Alexandria via LeMat-Bulk, functional PBE.

Unit cell a=4.305 b=4.305 c=10.975 alpha=90.00 beta=90.00 gamma=90.00
Sites, in units of the cell vectors:
La  0.000  0.500  0.245
La  0.500  0.000  0.755
Al  0.000  0.000  0.000
Al  0.000  0.000  0.500
Al  0.000  0.500  0.643
Al  0.000  0.500  0.879
Al  0.500  0.000  0.121
Al  0.500  0.000  0.357
Al  0.500  0.500  0.500
Ni  0.500  0.500  0.000

calculated volume	203.4	Å³ per cell
ρ	4.29	Mg/m³
relative energy among the computed polymorphs	0.78	eV/f.u.


[7]
La7Al2Ni2 after structural relaxation. Source: Alexandria via LeMat-Bulk, functional PBE.

Unit cell a=7.034 b=7.034 c=7.100 alpha=90.00 beta=90.00 gamma=109.56
Sites, in units of the cell vectors:
La  0.000  0.000  0.000
La  0.000  0.500  0.261
La  0.000  0.500  0.739
La  0.500  0.000  0.261
La  0.500  0.000  0.739
La  0.500  0.500  0.247
La  0.500  0.500  0.753
Al  0.160  0.160  0.500
Al  0.840  0.840  0.500
Ni  0.288  0.712  0.000
Ni  0.712  0.288  0.000

calculated volume	331.0	Å³ per cell
ρ	5.74	Mg/m³


[8]
LaAl3Ni after structural relaxation. Source: Alexandria via LeMat-Bulk, functional PBE.

Unit cell a=5.590 b=5.590 c=5.590 alpha=90.00 beta=90.00 gamma=90.00
Sites, in units of the cell vectors:
La  0.000  0.000  0.000
Al  0.000  0.000  0.500
Al  0.000  0.500  0.000
Al  0.500  0.000  0.000
Ni  0.500  0.500  0.500

calculated volume	174.7	Å³ per cell
ρ	2.65	Mg/m³


[9]
LaAlNi4 after structural relaxation. Source: Alexandria via LeMat-Bulk, functional PBE.

Unit cell a=5.191 b=5.191 c=3.881 alpha=90.00 beta=90.00 gamma=120.00
Sites, in units of the cell vectors:
La  0.000  0.000  0.000
Al  0.333  0.667  0.000
Ni  0.502  0.004  0.500
Ni  0.502  0.498  0.500
Ni  0.667  0.333  0.000
Ni  0.996  0.498  0.500

calculated volume	90.6	Å³ per cell
ρ	7.35	Mg/m³
relative energy among the computed polymorphs	0.28	eV/f.u.


[10]
LaAl3Ni2 after structural relaxation. Source: Alexandria via LeMat-Bulk, functional PBE.

Unit cell a=6.432 b=6.432 c=5.145 alpha=90.00 beta=90.00 gamma=75.03
Sites, in units of the cell vectors:
La  0.152  0.848  0.750
La  0.848  0.152  0.250
Al  0.025  0.581  0.250
Al  0.419  0.975  0.250
Al  0.439  0.561  0.250
Al  0.561  0.439  0.750
Al  0.581  0.025  0.750
Al  0.975  0.419  0.750
Ni  0.300  0.300  0.000
Ni  0.300  0.300  0.500
Ni  0.700  0.700  0.000
Ni  0.700  0.700  0.500

calculated volume	205.6	Å³ per cell
ρ	5.45	Mg/m³


[11]
La8AlNi2 after structural relaxation. Source: Alexandria via LeMat-Bulk, functional PBE.

Unit cell a=8.328 b=8.328 c=5.294 alpha=97.36 beta=97.36 gamma=112.87
Sites, in units of the cell vectors:
La  0.000  0.000  0.000
La  0.091  0.323  0.624
La  0.121  0.629  0.193
La  0.323  0.091  0.624
La  0.443  0.698  0.746
La  0.629  0.121  0.193
La  0.698  0.443  0.746
La  0.771  0.771  0.401
Al  0.387  0.387  0.190
Ni  0.081  0.714  0.704
Ni  0.714  0.081  0.704

calculated volume	329.1	Å³ per cell
ρ	6.34	Mg/m³


[12]
La3Al2Ni3 after structural relaxation. Source: Alexandria via LeMat-Bulk, functional PBE.

Unit cell a=7.803 b=13.977 c=6.446 alpha=90.00 beta=90.00 gamma=90.00
Sites, in units of the cell vectors:
La  0.034  0.106  0.154
La  0.034  0.394  0.154
La  0.106  0.750  0.374
La  0.394  0.250  0.874
La  0.466  0.606  0.654
La  0.466  0.894  0.654
La  0.534  0.106  0.346
La  0.534  0.394  0.346
La  0.606  0.750  0.126
La  0.894  0.250  0.626
La  0.966  0.606  0.846
La  0.966  0.894  0.846
Al  0.186  0.084  0.633
Al  0.186  0.416  0.633
Al  0.314  0.584  0.133
Al  0.314  0.916  0.133
Al  0.686  0.084  0.867
Al  0.686  0.416  0.867
Al  0.814  0.584  0.367
Al  0.814  0.916  0.367
Ni  0.117  0.548  0.405
Ni  0.117  0.952  0.405
Ni  0.233  0.250  0.445
Ni  0.267  0.750  0.945
Ni  0.383  0.048  0.905
Ni  0.383  0.452  0.905
Ni  0.617  0.548  0.095
Ni  0.617  0.952  0.095
Ni  0.733  0.250  0.055
Ni  0.767  0.750  0.555
Ni  0.883  0.048  0.595
Ni  0.883  0.452  0.595

calculated volume	703.0	Å³ per cell
ρ	6.11	Mg/m³


[13]
LaAlNi4 after structural relaxation. Source: Alexandria via LeMat-Bulk, functional PBE.

Unit cell a=4.997 b=4.997 c=4.997 alpha=60.00 beta=60.00 gamma=60.00
Sites, in units of the cell vectors:
La  0.000  0.000  0.000
Al  0.250  0.250  0.250
Ni  0.131  0.623  0.623
Ni  0.623  0.131  0.623
Ni  0.623  0.623  0.131
Ni  0.623  0.623  0.623

calculated volume	88.2	Å³ per cell
ρ	7.54	Mg/m³
relative energy among the computed polymorphs	0.76	eV/f.u.


[14]
LaAl4Ni4 after structural relaxation. Source: Alexandria via LeMat-Bulk, functional PBE.

Unit cell a=6.251 b=6.251 c=6.251 alpha=97.13 beta=97.13 gamma=138.73
Sites, in units of the cell vectors:
La  0.000  0.000  0.000
Al  0.121  0.601  0.722
Al  0.399  0.121  0.520
Al  0.601  0.879  0.480
Al  0.879  0.399  0.278
Ni  0.185  0.310  0.495
Ni  0.310  0.815  0.125
Ni  0.690  0.185  0.875
Ni  0.815  0.690  0.505

calculated volume	150.8	Å³ per cell
ρ	5.30	Mg/m³


[15]
LaAl2Ni2 after structural relaxation. Source: Alexandria via LeMat-Bulk, functional PBE.

Unit cell a=7.616 b=7.616 c=2.871 alpha=90.00 beta=90.00 gamma=90.00
Sites, in units of the cell vectors:
La  0.000  0.000  0.000
La  0.500  0.500  0.000
Al  0.141  0.359  0.500
Al  0.359  0.859  0.500
Al  0.641  0.141  0.500
Al  0.859  0.641  0.500
Ni  0.137  0.637  0.000
Ni  0.363  0.137  0.000
Ni  0.637  0.863  0.000
Ni  0.863  0.363  0.000

calculated volume	166.5	Å³ per cell
ρ	6.19	Mg/m³


[16]
LaAlNi4 after structural relaxation. Source: Alexandria via LeMat-Bulk, functional PBE.

Unit cell a=4.986 b=4.986 c=4.065 alpha=90.00 beta=90.00 gamma=117.25
Sites, in units of the cell vectors:
La  0.000  0.000  0.000
Al  0.500  0.500  0.500
Ni  0.000  0.500  0.500
Ni  0.332  0.668  0.000
Ni  0.500  0.000  0.500
Ni  0.668  0.332  0.000

calculated volume	89.9	Å³ per cell
ρ	7.40	Mg/m³
relative energy among the computed polymorphs	0.00	eV/f.u.


[17]
LaAlNi3 after structural relaxation. Source: Alexandria via LeMat-Bulk, functional PBE.

Unit cell a=4.540 b=4.540 c=4.517 alpha=90.00 beta=90.00 gamma=105.62
Sites, in units of the cell vectors:
La  0.000  0.000  0.000
Al  0.500  0.500  0.500
Ni  0.000  0.500  0.500
Ni  0.500  0.000  0.500
Ni  0.500  0.500  0.000

calculated volume	89.7	Å³ per cell
ρ	6.33	Mg/m³
relative energy among the computed polymorphs	0.00	eV/f.u.


[18]
LaAl4Ni after structural relaxation. Source: Alexandria via LeMat-Bulk, functional PBE.

Unit cell a=5.476 b=5.476 c=5.476 alpha=60.00 beta=60.00 gamma=60.00
Sites, in units of the cell vectors:
La  0.000  0.000  0.000
Al  0.375  0.375  0.375
Al  0.375  0.375  0.876
Al  0.375  0.876  0.375
Al  0.876  0.375  0.375
Ni  0.750  0.750  0.750

calculated volume	116.1	Å³ per cell
ρ	4.37	Mg/m³


[19]
LaAl3Ni after structural relaxation. Source: Alexandria via LeMat-Bulk, functional PBE.

Unit cell a=4.625 b=4.625 c=4.625 alpha=90.00 beta=90.00 gamma=90.00
Sites, in units of the cell vectors:
La  0.000  0.000  0.000
Al  0.000  0.500  0.500
Al  0.500  0.000  0.500
Al  0.500  0.500  0.000
Ni  0.500  0.500  0.500

calculated volume	98.9	Å³ per cell
ρ	4.68	Mg/m³


[20]
La2Al2Ni15 after structural relaxation. Source: Alexandria via LeMat-Bulk, functional PBE.

Unit cell a=6.385 b=6.385 c=6.385 alpha=82.25 beta=82.25 gamma=82.25
Sites, in units of the cell vectors:
La  0.149  0.149  0.149
La  0.851  0.851  0.851
Al  0.398  0.398  0.398
Al  0.602  0.602  0.602
Ni  0.000  0.500  0.500
Ni  0.158  0.158  0.647
Ni  0.158  0.647  0.158
Ni  0.211  0.500  0.789
Ni  0.211  0.789  0.500
Ni  0.353  0.842  0.842
Ni  0.500  0.000  0.500
Ni  0.500  0.211  0.789
Ni  0.500  0.500  0.000
Ni  0.500  0.789  0.211
Ni  0.647  0.158  0.158
Ni  0.789  0.211  0.500
Ni  0.789  0.500  0.211
Ni  0.842  0.353  0.842
Ni  0.842  0.842  0.353

calculated volume	253.8	Å³ per cell
ρ	7.93	Mg/m³


| no. | uncorrected energy (eV per cell) | formation energy (eV/atom) |
| --- | --- | --- |
| 1 | -16.02 | -0.328 |
| 2 | -22.24 | -0.418 |
| 3 | -16.04 | -0.331 |
| 4 | -53.28 | -0.533 |
| 5 | -26.27 | -0.052 |
| 6 | -46.09 | -0.426 |
| 7 | -55.37 | -0.167 |
| 8 | -13.18 | 1.752 |
| 9 | -34.32 | -0.420 |
| 10 | -63.03 | -0.633 |
| 11 | -55.98 | -0.114 |
| 12 | -173.55 | -0.472 |
| 13 | -33.83 | -0.340 |
| 14 | -47.00 | -0.441 |
| 15 | -50.87 | -0.291 |
| 16 | -34.59 | -0.466 |
| 17 | -26.45 | -0.087 |
| 18 | -25.82 | -0.024 |
| 19 | -23.89 | -0.391 |
| 20 | -109.44 | -0.283 |